[1]
# NdErBe

A relaxed structure of NdErBe (GGA-PBE, the Alexandria database).

## Properties
- Energy above the most stable polymorph in this dataset: 0 meV/atom
- Formation energy: 0.117 eV per atom

a = 3.5141 Å, b = 3.5141 Å, c = 12.1079 Å
α = 90.00°, β = 90.00°, γ = 90.00°
Last column: nearest neighbours and their distance in Å.
Space group I4mm (No. 107)
One atom of each set of equivalent atoms:
1 Nd 0.0000 0.0000 0.0000 x2  4 Be 3.07, 1 Er 3.28
2 Er 0.0000 0.0000 0.2710 x2  4 Be 2.89
3 Be 0.0000 0.0000 0.6486 x2  4 Er 2.89, 4 Nd 3.07

=====

[2]
# SrSc2Al

A relaxed structure of SrSc2Al (GGA-PBE, the Alexandria database).

## Properties
- Formation energy: 0.106 eV per atom

a = 3.4417 Å, b = 4.8719 Å, c = 6.7692 Å
α = 90.00°, β = 104.64°, γ = 90.00°
Last column: nearest neighbours and their distance in Å.
Space group P2/m (No. 10)
One atom of each set of equivalent atoms:
1 Sr 0.0000 0.0000 0.0000 x1  2 Al 3.38, 2 Sr 3.44, 8 Sc 3.52-3.64
2 Sc 0.3852 0.5000 0.6974 x2  2 Al 2.93, 2 Sc 2.97-3.25
3 Al 0.0000 0.0000 0.5000 x1  4 Sc 2.93

=====

[3]
# ZrTlSe2

A relaxed structure of ZrTlSe2 (GGA-PBE, the Alexandria database).

## Properties
- Raw formation energy: -894 meV per atom

a = 5.4086 Å, b = 4.6314 Å, c = 8.3159 Å
α = 90.00°, β = 96.18°, γ = 90.00°
Last column: nearest neighbours and their distance in Å.
Space group P2_1/m (No. 11)
One atom of each set of equivalent atoms:
1 Zr 0.1971 0.2500 0.0392 x2  7 Se 2.78-2.90
2 Tl 0.2783 0.2500 0.5704 x2  4 Se 3.06-3.30
3 Se 0.1620 0.7500 0.2263 x2  3 Zr 2.78-2.81, 1 Tl 3.06
4 Se 0.2927 0.7500 0.8482 x2  4 Zr 2.82-2.90

=====

[4]
# ZnCuTe2I

A relaxed structure of ZnCuTe2I (GGA-PBE, the Alexandria database).

## Properties
- Energy above the most stable polymorph in this dataset: 0 meV/atom
- Raw formation energy: 448 meV per atom

a = 5.2374 Å, b = 5.2374 Å, c = 5.3425 Å
α = 90.00°, β = 90.00°, γ = 90.00°
Last column: nearest neighbours and their distance in Å.
Space group P4/mmm (No. 123)
One atom of each set of equivalent atoms:
1 Zn 0.0000 0.0000 0.0000 x1  4 I 3.70, 8 Te 3.74
2 Cu 0.5000 0.5000 0.5000 x1  4 Te 2.62, 2 I 2.67
3 Te 0.0000 0.5000 0.5000 x2  2 Cu 2.62
4 I 0.5000 0.5000 0.0000 x1  2 Cu 2.67

=====

[5]
# Al4C3

A relaxed structure of Al4C3 (GGA-PBE, the Alexandria database).

## Properties
- Energy above the most stable polymorph in this dataset: 460 meV/atom
- Formation energy: 0.369 eV per atom

a = 4.2305 Å, b = 4.2305 Å, c = 4.2305 Å
α = 90.00°, β = 90.00°, γ = 90.00°
Last column: nearest neighbours and their distance in Å.
Space group Pm-3m (No. 221)
One atom of each set of equivalent atoms:
1 Al 0.0000 0.0000 0.0000 x1  6 C 2.12
2 Al 0.0000 0.5000 0.5000 x3  4 C 2.12
3 C 0.0000 0.0000 0.5000 x3  6 Al 2.12

=====

[6]
# BSbHI2

A relaxed structure of BSbHI2 (GGA-PBE, the Alexandria database).

## Properties
- Energy above the most stable polymorph in this dataset: 0 meV/atom

a = 5.4915 Å, b = 5.4915 Å, c = 4.5193 Å
α = 90.00°, β = 90.00°, γ = 90.00°
Last column: nearest neighbours and their distance in Å.
Space group P4/mmm (No. 123)
One atom of each set of equivalent atoms:
1 B 0.0000 0.0000 0.0000 x1  2 Sb 2.26
2 Sb 0.0000 0.0000 0.5000 x1  2 B 2.26
3 H 0.5000 0.5000 0.5000 x1  8 I 3.56, 4 Sb 3.88
4 I 0.0000 0.5000 0.0000 x2  2 B 2.75